Here is Ta2CrAuN after structural relaxation from Alexandria. Energies are from PBE-GGA. Values from VASP.

Results
As for the total energy: -9.36 eV per atom. Its formation energy (no corrections) is -0.375 eV/atom.

```
&SYSTEM
  ibrav = 0, nat = 5, ntyp = 4
/
ATOMIC_SPECIES
Ta 180.95 Ta.upf
Cr 52.00 Cr.upf
Au 196.97 Au.upf
N 14.01 N.upf
CELL_PARAMETERS angstrom
4.275 0.000 0.000
0.000 4.275 0.000
0.000 0.000 3.883
ATOMIC_POSITIONS angstrom
Ta 0.000 2.138 0.000
Ta 2.138 0.000 0.000
Cr 0.000 0.000 1.941
Au 2.138 2.138 1.941
N 0.000 0.000 0.000
```

=====

Here is Cr2TcAuN after structural relaxation from Alexandria. Energies are from PBE-GGA. Values from VASP.

Results
As for the total energy: -8.29 eV per atom. Its formation energy (no corrections) is -0.045 eV/atom.

```
&SYSTEM
  ibrav = 0, nat = 5, ntyp = 4
/
ATOMIC_SPECIES
Cr 52.00 Cr.upf
Tc 98.00 Tc.upf
Au 196.97 Au.upf
N 14.01 N.upf
CELL_PARAMETERS angstrom
3.934 0.000 0.000
0.000 3.934 0.000
0.000 0.000 4.035
ATOMIC_POSITIONS angstrom
Cr 0.000 1.967 0.000
Cr 1.967 0.000 0.000
Tc 0.000 0.000 2.018
Au 1.967 1.967 2.018
N 0.000 0.000 0.000
```

=====

Here is CrTe2AuN after structural relaxation from Alexandria. Energies are from PBE-GGA. Values from VASP.

Results
As for the total energy: -4.43 eV per atom. Its formation energy (no corrections) is 1.067 eV/atom. The value obtained for the energy above the most stable polymorph in this dataset is 804.0 meV/atom.

```
&SYSTEM
  ibrav = 0, nat = 5, ntyp = 4
/
ATOMIC_SPECIES
Cr 52.00 Cr.upf
Te 127.60 Te.upf
Au 196.97 Au.upf
N 14.01 N.upf
CELL_PARAMETERS angstrom
5.668 0.000 0.000
0.000 5.668 0.000
0.000 0.000 3.805
ATOMIC_POSITIONS angstrom
Cr 0.000 0.000 0.000
Te 0.000 2.834 1.903
Te 2.834 0.000 1.903
Au 2.834 2.834 1.903
N 2.834 2.834 0.000
```

=====

Here is CrTe2AuN after structural relaxation from Alexandria. Energies are from PBE-GGA. Values from VASP.

Results
As for the total energy: -5.24 eV per atom. Its formation energy (no corrections) is 0.263 eV/atom. The value obtained for the energy above the most stable polymorph in this dataset is 0.0 meV/atom.

```
&SYSTEM
  ibrav = 0, nat = 5, ntyp = 4
/
ATOMIC_SPECIES
Cr 52.00 Cr.upf
Te 127.60 Te.upf
Au 196.97 Au.upf
N 14.01 N.upf
CELL_PARAMETERS angstrom
5.274 0.000 0.000
0.000 5.274 0.000
0.000 0.000 3.524
ATOMIC_POSITIONS angstrom
Cr 0.000 0.000 0.000
Te 0.000 2.637 0.000
Te 2.637 0.000 0.000
Au 2.637 2.637 1.762
N 0.000 0.000 1.762
```

=====

Here is TiCrAuN2 after structural relaxation from Alexandria. Energies are from PBE-GGA. Values from VASP.

Results
As for the total energy: -5.53 eV per atom. Its formation energy (no corrections) is 1.961 eV/atom.

```
&SYSTEM
  ibrav = 0, nat = 5, ntyp = 4
/
ATOMIC_SPECIES
Ti 47.87 Ti.upf
Cr 52.00 Cr.upf
Au 196.97 Au.upf
N 14.01 N.upf
CELL_PARAMETERS angstrom
4.066 0.000 0.000
0.000 4.066 0.000
0.000 0.000 4.924
ATOMIC_POSITIONS angstrom
Ti 0.000 0.000 0.000
Cr 2.033 2.033 0.000
Au 2.033 2.033 2.462
N 0.000 2.033 2.462
N 2.033 0.000 2.462
```

=====

Here is VCr2AuN after structural relaxation from Alexandria. Energies are from PBE-GGA. Values from VASP.

Results
As for the total energy: -8.30 eV per atom. Its formation energy (no corrections) is -0.304 eV/atom.

```
&SYSTEM
  ibrav = 0, nat = 5, ntyp = 4
/
ATOMIC_SPECIES
V 50.94 V.upf
Cr 52.00 Cr.upf
Au 196.97 Au.upf
N 14.01 N.upf
CELL_PARAMETERS angstrom
3.959 0.000 0.000
0.000 3.959 0.000
0.000 0.000 3.954
ATOMIC_POSITIONS angstrom
V 0.000 0.000 0.000
Cr 0.000 1.979 1.977
Cr 1.979 0.000 1.977
Au 1.979 1.979 0.000
N 0.000 0.000 1.977
```

=====

Here is NaCr2Au after structural relaxation from Alexandria. Energies are from PBE-GGA. Values from VASP.

Results
As for the total energy: -5.12 eV per atom. The value obtained for the energy above the most stable polymorph in this dataset is 238.0 meV/atom.

```
&SYSTEM
  ibrav = 0, nat = 16, ntyp = 3
/
ATOMIC_SPECIES
Na 22.99 Na.upf
Cr 52.00 Cr.upf
Au 196.97 Au.upf
CELL_PARAMETERS angstrom
7.871 0.000 0.000
0.000 7.871 0.000
0.000 0.000 5.812
ATOMIC_POSITIONS angstrom
Na 0.000 0.000 0.000
Na 0.000 3.936 1.453
Na 3.936 0.000 4.359
Na 3.936 3.936 2.906
Cr 1.628 5.904 3.632
Cr 1.968 1.628 2.179
Cr 1.968 2.307 5.085
Cr 2.307 5.904 0.726
Cr 5.564 1.968 0.726
Cr 5.904 5.564 5.085
Cr 5.904 6.243 2.179
Cr 6.243 1.968 3.632
Au 0.000 0.000 2.906
Au 0.000 3.936 4.359
Au 3.936 0.000 1.453
Au 3.936 3.936 0.000
```

=====

Here is NaCr2Au2 after structural relaxation from Alexandria. Energies are from PBE-GGA. Values from VASP.

Results
As for the total energy: -5.12 eV per atom. The value obtained for the energy above the most stable polymorph in this dataset is 0.0 meV/atom.

```
&SYSTEM
  ibrav = 0, nat = 10, ntyp = 3
/
ATOMIC_SPECIES
Na 22.99 Na.upf
Cr 52.00 Cr.upf
Au 196.97 Au.upf
CELL_PARAMETERS angstrom
7.996 0.000 0.000
0.000 7.996 0.000
0.000 0.000 2.710
ATOMIC_POSITIONS angstrom
Na 0.000 0.000 0.000
Na 3.998 3.998 0.000
Cr 0.677 3.321 1.355
Cr 3.321 7.319 1.355
Cr 4.675 0.677 1.355
Cr 7.319 4.675 1.355
Au 1.621 5.619 0.000
Au 2.377 1.621 0.000
Au 5.619 6.375 0.000
Au 6.375 2.377 0.000
```

=====

Here is NaCr2Au2 after structural relaxation from Alexandria. Energies are from PBE-GGA. Values from VASP.

Results
As for the total energy: -5.02 eV per atom. The value obtained for the energy above the most stable polymorph in this dataset is 99.6 meV/atom.

```
&SYSTEM
  ibrav = 0, nat = 10, ntyp = 3
/
ATOMIC_SPECIES
Na 22.99 Na.upf
Cr 52.00 Cr.upf
Au 196.97 Au.upf
CELL_PARAMETERS angstrom
3.237 0.000 0.000
0.000 3.237 0.000
0.000 0.000 16.531
ATOMIC_POSITIONS angstrom
Na 0.000 0.000 0.000
Na 1.619 1.619 8.265
Cr 0.000 1.619 4.133
Cr 0.000 1.619 12.398
Cr 1.619 0.000 4.133
Cr 1.619 0.000 12.398
Au 0.000 0.000 6.356
Au 0.000 0.000 10.175
Au 1.619 1.619 1.910
Au 1.619 1.619 14.621
```

=====

Here is NaCr3Au after structural relaxation from Alexandria. Energies are from PBE-GGA. Values from VASP.

Results
As for the total energy: -4.85 eV per atom. The value obtained for the energy above the most stable polymorph in this dataset is 713.8 meV/atom.

```
&SYSTEM
  ibrav = 0, nat = 5, ntyp = 3
/
ATOMIC_SPECIES
Na 22.99 Na.upf
Cr 52.00 Cr.upf
Au 196.97 Au.upf
CELL_PARAMETERS angstrom
4.881 0.000 0.000
0.000 4.881 0.000
0.000 0.000 4.881
ATOMIC_POSITIONS angstrom
Na 0.000 0.000 0.000
Cr 0.000 0.000 2.440
Cr 0.000 2.440 0.000
Cr 2.440 0.000 0.000
Au 2.440 2.440 2.440
```

=====

Here is NaCr2Au after structural relaxation from Alexandria. Energies are from PBE-GGA. Values from VASP.

Results
As for the total energy: -5.36 eV per atom. The value obtained for the energy above the most stable polymorph in this dataset is 0.0 meV/atom.

```
&SYSTEM
  ibrav = 0, nat = 16, ntyp = 3
/
ATOMIC_SPECIES
Na 22.99 Na.upf
Cr 52.00 Cr.upf
Au 196.97 Au.upf
CELL_PARAMETERS angstrom
6.687 0.000 0.000
0.000 6.687 0.000
0.000 0.000 6.687
ATOMIC_POSITIONS angstrom
Na 0.000 0.000 0.000
Na 0.000 3.344 3.344
Na 3.344 0.000 3.344
Na 3.344 3.344 0.000
Cr 1.672 1.672 1.672
Cr 1.672 1.672 5.015
Cr 1.672 5.015 1.672
Cr 1.672 5.015 5.015
Cr 5.015 1.672 1.672
Cr 5.015 1.672 5.015
Cr 5.015 5.015 1.672
Cr 5.015 5.015 5.015
Au 0.000 0.000 3.344
Au 0.000 3.344 0.000
Au 3.344 0.000 0.000
Au 3.344 3.344 3.344
```

=====

Here is Na3CrAu after structural relaxation from Alexandria. Energies are from PBE-GGA. Values from VASP.

Results
As for the total energy: -2.88 eV per atom. The value obtained for the energy above the most stable polymorph in this dataset is 0.0 meV/atom.

```
&SYSTEM
  ibrav = 0, nat = 5, ntyp = 3
/
ATOMIC_SPECIES
Na 22.99 Na.upf
Cr 52.00 Cr.upf
Au 196.97 Au.upf
CELL_PARAMETERS angstrom
5.535 0.000 0.000
0.000 5.535 0.000
0.000 0.000 5.535
ATOMIC_POSITIONS angstrom
Na 0.000 0.000 2.768
Na 0.000 2.768 0.000
Na 2.768 0.000 0.000
Cr 2.768 2.768 2.768
Au 0.000 0.000 0.000
```

=====

no.,V (Å³ per cell),M_tot (Bohr magnetons per cell)
1,71.0,0.7
2,62.5,2.1
3,122.3,4.9
4,98.0,0.0
5,81.4,3.6
6,62.0,2.6
7,360.1,36.4
8,173.2,0.0
9,173.3,0.0
10,116.3,14.1
11,299.1,36.0
12,169.6,5.1